(1)
The following is a SCAN calculation of GaFe2H2 at its PBEsol-relaxed geometry, from the Alexandria database.

abc: 4.570 4.570 4.570
angles: 136.64 136.64 63.00
Element x y z (fractional)
Ga 0.000 0.000 0.000
Fe 0.250 0.750 0.500
Fe 0.750 0.250 0.500
H 0.337 0.337 0.000
H 0.663 0.663 0.000

Summary:
- ρ: 6.86 g/cm³
- V: 44 Å³ per cell
- Space group: No. 139
- Uncorrected energy: -11.829 eV per atom

=====

(2)
The following is a SCAN calculation of GaFe2H2 at its PBEsol-relaxed geometry, from the Alexandria database.

abc: 5.137 5.137 5.137
angles: 147.31 147.31 46.91
Element x y z (fractional)
Ga 0.000 0.000 0.000
Fe 0.346 0.346 0.000
Fe 0.654 0.654 0.000
H 0.250 0.750 0.500
H 0.750 0.250 0.500

Summary:
- ρ: 7.73 g/cm³
- V: 39 Å³ per cell
- Space group: No. 139
- Uncorrected energy: -11.851 eV per atom

=====

(3)
The following is a SCAN calculation of Zn2GaFeH at its PBEsol-relaxed geometry, from the Alexandria database.

abc: 4.784 4.784 3.045
angles: 90.00 90.00 90.00
Element x y z (fractional)
Zn 0.000 0.500 0.000
Zn 0.500 0.000 0.000
Ga 0.000 0.000 0.500
Fe 0.500 0.500 0.000
H 0.500 0.500 0.500

Summary:
- ρ: 6.13 g/cm³
- V: 70 Å³ per cell
- Space group: No. 123
- Uncorrected energy: -12.517 eV per atom

=====

(4)
The following is a SCAN calculation of Hf2GaFeSb at its PBEsol-relaxed geometry, from the Alexandria database.

abc: 4.893 4.893 4.953
angles: 90.00 90.00 90.00
Element x y z (fractional)
Hf 0.000 0.500 0.000
Hf 0.500 0.000 0.000
Ga 0.000 0.000 0.000
Fe 0.500 0.500 0.500
Sb 0.000 0.000 0.500

Summary:
- ρ: 8.46 g/cm³
- V: 119 Å³ per cell
- Space group: No. 123
- Uncorrected energy: -38.436 eV per atom
- Energy relative to the elements, uncorrected: 0.98 eV per atom

=====

(5)
The following is a SCAN calculation of GaFe3Hg at its PBEsol-relaxed geometry, from the Alexandria database.

abc: 4.351 4.351 4.351
angles: 90.00 90.00 90.00
Element x y z (fractional)
Ga 0.000 0.000 0.000
Fe 0.000 0.000 0.500
Fe 0.000 0.500 0.000
Fe 0.500 0.000 0.000
Hg 0.500 0.500 0.500

Summary:
- ρ: 8.83 g/cm³
- Formation energy from the elements: 0.926 eV per atom
- V: 82 Å³ per cell
- Space group: No. 221
- Uncorrected energy: -26.854 eV per atom

=====

(6)
The following is a SCAN calculation of GaFe2HgTe at its PBEsol-relaxed geometry, from the Alexandria database.

abc: 4.865 4.865 5.575
angles: 90.00 90.00 90.00
Element x y z (fractional)
Ga 0.000 0.000 0.000
Fe 0.000 0.500 0.500
Fe 0.500 0.000 0.500
Hg 0.500 0.500 0.500
Te 0.500 0.500 0.000

Summary:
- ρ: 6.41 g/cm³
- V: 132 Å³ per cell
- Space group: No. 123
- Uncorrected energy: -30.493 eV per atom
- Energy relative to the elements, uncorrected: 1.11 eV per atom

=====

(7)
The following is a SCAN calculation of HoGa6Fe6 at its PBEsol-relaxed geometry, from the Alexandria database.

abc: 6.442 6.442 6.442
angles: 134.89 99.54 97.38
Element x y z (fractional)
Ho 0.000 0.000 0.000
Ga 0.183 0.683 0.500
Ga 0.334 0.000 0.334
Ga 0.344 0.344 0.000
Ga 0.656 0.656 0.000
Ga 0.666 0.000 0.666
Ga 0.817 0.317 0.500
Fe 0.000 0.000 0.500
Fe 0.000 0.500 0.000
Fe 0.243 0.500 0.743
Fe 0.500 0.000 0.000
Fe 0.500 0.500 0.500
Fe 0.757 0.500 0.257

Summary:
- ρ: 8.72 g/cm³
- Formation energy from the elements: -0.351 eV per atom
- V: 175 Å³ per cell
- Space group: No. 71
- Uncorrected energy: -20.031 eV per atom

=====

(8)
The following is a SCAN calculation of Ho4Ga12Fe at its PBEsol-relaxed geometry, from the Alexandria database.

abc: 7.282 7.282 7.282
angles: 109.47 109.47 109.47
Element x y z (fractional)
Ho 0.000 0.000 0.500
Ho 0.000 0.500 0.000
Ho 0.500 0.000 0.000
Ho 0.500 0.500 0.500
Ga 0.000 0.284 0.284
Ga 0.000 0.716 0.716
Ga 0.250 0.500 0.750
Ga 0.250 0.750 0.500
Ga 0.284 0.000 0.284
Ga 0.284 0.284 0.000
Ga 0.500 0.250 0.750
Ga 0.500 0.750 0.250
Ga 0.716 0.000 0.716
Ga 0.716 0.716 0.000
Ga 0.750 0.250 0.500
Ga 0.750 0.500 0.250
Fe 0.000 0.000 0.000

Summary:
- ρ: 8.67 g/cm³
- Formation energy from the elements: -0.607 eV per atom
- V: 297 Å³ per cell
- Space group: No. 229
- Uncorrected energy: -24.739 eV per atom

=====

(9)
The following is a SCAN calculation of Ho2Ga8Fe at its PBEsol-relaxed geometry, from the Alexandria database.

abc: 4.142 4.142 10.954
angles: 90.00 90.00 90.00
Element x y z (fractional)
Ho 0.000 0.000 0.194
Ho 0.000 0.000 0.806
Ga 0.000 0.500 0.000
Ga 0.000 0.500 0.384
Ga 0.000 0.500 0.616
Ga 0.500 0.000 0.000
Ga 0.500 0.000 0.384
Ga 0.500 0.000 0.616
Ga 0.500 0.500 0.195
Ga 0.500 0.500 0.805
Fe 0.000 0.000 0.500

Summary:
- ρ: 8.34 g/cm³
- Formation energy from the elements: -0.492 eV per atom
- V: 188 Å³ per cell
- Space group: No. 123
- Uncorrected energy: -22.935 eV per atom

=====

(10)
The following is a SCAN calculation of GaFeI2N at its PBEsol-relaxed geometry, from the Alexandria database.

abc: 5.411 5.411 3.493
angles: 90.00 90.00 90.00
Element x y z (fractional)
Ga 0.000 0.000 0.000
Fe 0.500 0.500 0.500
I 0.000 0.500 0.500
I 0.500 0.000 0.500
N 0.500 0.500 0.000

Summary:
- ρ: 6.39 g/cm³
- V: 102 Å³ per cell
- Space group: No. 123
- Uncorrected energy: -23.130 eV per atom
- Energy relative to the elements, uncorrected: 0.32 eV per atom

=====

(11)
The following is a SCAN calculation of GaFeSb2I at its PBEsol-relaxed geometry, from the Alexandria database.

abc: 4.778 4.778 5.686
angles: 90.00 90.00 90.00
Element x y z (fractional)
Ga 0.000 0.000 0.000
Fe 0.500 0.500 0.500
Sb 0.000 0.500 0.500
Sb 0.500 0.000 0.500
I 0.500 0.500 0.000

Summary:
- ρ: 6.35 g/cm³
- V: 130 Å³ per cell
- Space group: No. 123
- Uncorrected energy: -28.627 eV per atom
- Energy relative to the elements, uncorrected: 0.52 eV per atom

=====

(12)
The following is a SCAN calculation of Nb2InGaFe at its PBEsol-relaxed geometry, from the Alexandria database.

abc: 5.059 5.059 4.564
angles: 90.00 90.00 90.00
Element x y z (fractional)
Nb 0.000 0.500 0.000
Nb 0.500 0.000 0.000
In 0.000 0.000 0.000
Ga 0.000 0.000 0.500
Fe 0.500 0.500 0.500

Summary:
- ρ: 6.06 g/cm³
- Formation energy from the elements: 1.822 eV per atom
- V: 117 Å³ per cell
- Space group: No. 123
- Uncorrected energy: -25.002 eV per atom

=====

- What is the uncorrected energy in the seventh record?
  -20.031 eV per atom